No. 1
This record from the Alexandria database describes crystalline CoP2AuS at its relaxed geometry. The functional is PBEsol.

It has space group P4/mmm (No. 123), with a = 4.156 Å, b = 4.156 Å, c = 4.748 Å, α = 90.00°, β = 90.00° and γ = 90.00°. Symmetry generates all atoms from Co at (0.000, 0.000, 0.000), P at (0.000, 0.500, 0.000), Au at (0.500, 0.500, 0.500) and S at (0.000, 0.000, 0.500).

For the mass density, the calculation gives 7.1 g cm⁻³. Its total moment is 0.0 μB per formula unit. The calculation puts the energy relative to the elements, uncorrected at 0.5217 eV per atom. As for the total energy: -5.004 eV/atom.

No. 2
This record from the Alexandria database describes crystalline Co2SnPAu at its relaxed geometry. The functional is PBEsol.

It has space group P4/mmm (No. 123), with a = 4.721 Å, b = 4.721 Å, c = 4.490 Å, α = 90.00°, β = 90.00° and γ = 90.00°. Symmetry generates all atoms from Co at (0.000, 0.500, 0.000), Sn at (0.000, 0.000, 0.500), P at (0.500, 0.500, 0.500) and Au at (0.500, 0.500, 0.000).

For the energy of formation, the calculation gives 5.7 eV/f.u. For the mass density, the calculation gives 7.7 g cm⁻³. Its total moment is 3.3 μB per formula unit. As for the total energy: -4.746 eV/atom.

No. 3
This record from the Alexandria database describes crystalline Co2PbAu2 at its relaxed geometry. The functional is PBEsol.

It has space group I4/mmm (No. 139), with a = 3.300 Å, b = 3.300 Å, c = 16.099 Å, α = 90.00°, β = 90.00° and γ = 90.00°. Symmetry generates all atoms from Co at (0.000, 0.500, 0.250), Pb at (0.000, 0.000, 0.000) and Au at (0.000, 0.000, 0.376).

For the energy of formation, the calculation gives 1.8 eV/f.u. For the mass density, the calculation gives 13.6 g cm⁻³. Its total moment is 3.7 μB per formula unit. As for the total energy: -5.099 eV/atom.

No. 4
This record from the Alexandria database describes crystalline CoPtAu at its relaxed geometry. The functional is PBEsol.

It has space group P3m1 (No. 156), with a = 2.7429 Å, b = 2.7429 Å, c = 6.6126 Å, α = 90.00°, β = 90.00° and γ = 120.00°. Symmetry generates all atoms from Co at (0.0000, 0.0000, 0.0000), Pt at (0.3333, 0.6667, 0.6958) and Au at (0.6667, 0.3333, 0.3253).

For the energy of formation, the calculation gives 0.3 eV/f.u. For the mass density, the calculation gives 17.4 g cm⁻³. Its total moment is 2.1 μB per formula unit. As for the total energy: -6.111 eV/atom.

Q: The highest mass density belongs to which entry?
A: CoPtAu